# 1
The following is a SCAN calculation of a crystal of LiYTi2 relaxed with PBEsol, from Alexandria via LeMat-Bulk.

Geometry as POSCAR:
```
LiYTi2
1.0
3.867 0.000 0.000
0.000 3.867 0.000
0.000 0.000 20.836
Li Y Ti
4 4 8
direct
0.000 0.000 0.000
0.000 0.500 0.250
0.500 0.000 0.750
0.500 0.500 0.500
0.000 0.000 0.500
0.000 0.500 0.750
0.500 0.000 0.250
0.500 0.500 0.000
0.237 0.250 0.125
0.250 0.737 0.375
0.250 0.763 0.875
0.263 0.250 0.625
0.737 0.750 0.625
0.750 0.237 0.875
0.750 0.263 0.375
0.763 0.750 0.125
```

Computed properties:
Space group   I-42d (122)
Energy relative to the elements   0.507 eV/atom

***

# 2
The following is a SCAN calculation of a crystal of Sr5Cd2Sb5F relaxed with PBEsol, from Alexandria via LeMat-Bulk.

Geometry as POSCAR:
```
Sr5Cd2Sb5F
1.0
2.361 -11.005 0.000
2.361 11.005 0.000
0.000 0.000 14.696
Sr Cd Sb F
10 4 10 2
direct
0.000 0.000 0.000
0.000 0.000 0.500
0.098 0.902 0.750
0.101 0.899 0.250
0.271 0.729 0.620
0.271 0.729 0.880
0.729 0.271 0.120
0.729 0.271 0.380
0.899 0.101 0.750
0.902 0.098 0.250
0.369 0.631 0.086
0.369 0.631 0.414
0.631 0.369 0.586
0.631 0.369 0.914
0.149 0.851 0.019
0.149 0.851 0.481
0.293 0.707 0.250
0.496 0.504 0.154
0.496 0.504 0.346
0.504 0.496 0.654
0.504 0.496 0.846
0.707 0.293 0.750
0.851 0.149 0.519
0.851 0.149 0.981
0.345 0.655 0.750
0.655 0.345 0.250
```

Computed properties:
Space group   Cmcm (63)
Formation energy without anion corrections   -1324 meV per atom

***

# 3
The following is a SCAN calculation of a crystal of BeCr3Sb relaxed with PBEsol, from Alexandria via LeMat-Bulk.

Geometry as POSCAR:
```
BeCr3Sb
1.0
4.962 0.000 0.000
0.000 4.962 0.000
0.000 0.000 4.962
Be Cr Sb
1 3 1
direct
0.000 0.000 0.000
0.000 0.500 0.500
0.500 0.000 0.500
0.500 0.500 0.000
0.500 0.500 0.500
```

Computed properties:
Space group   Pm-3m (221)
Energy relative to the lowest polymorph listed for this composition   0.872 eV per atom
Formation energy without anion corrections   1320 meV per atom

***

# 4
The following is a SCAN calculation of a crystal of Mg5Au3 relaxed with PBEsol, from Alexandria via LeMat-Bulk.

Geometry as POSCAR:
```
Mg5Au3
1.0
7.040 0.000 0.000
0.000 9.183 0.000
0.000 0.000 4.481
Mg Au
10 6
direct
0.000 0.000 0.000
0.216 0.500 0.500
0.250 0.250 0.000
0.250 0.750 0.000
0.284 0.000 0.500
0.500 0.500 0.000
0.716 0.000 0.500
0.750 0.250 0.000
0.750 0.750 0.000
0.784 0.500 0.500
0.000 0.213 0.500
0.000 0.500 0.000
0.000 0.787 0.500
0.500 0.000 0.000
0.500 0.287 0.500
0.500 0.713 0.500
```

Computed properties:
Space group   Cmmm (65)
Energy relative to the elements   -0.664 eV/atom
Energy relative to the lowest polymorph listed for this composition   0.049 eV per atom

***

# 5
The following is a SCAN calculation of a crystal of Nd3Tl relaxed with PBEsol, from Alexandria via LeMat-Bulk.

Geometry as POSCAR:
```
Nd3Tl
1.0
4.887 0.000 0.000
0.000 4.887 0.000
0.000 0.000 4.887
Nd Tl
3 1
direct
0.000 0.000 0.500
0.000 0.500 0.000
0.500 0.000 0.000
0.500 0.500 0.500
```

Computed properties:
Space group   Pm-3m (221)
Energy relative to the elements   -0.367 eV/atom

***

# 6
The following is a SCAN calculation of a crystal of ScTaMo2 relaxed with PBEsol, from Alexandria via LeMat-Bulk.

Geometry as POSCAR:
```
ScTaMo2
1.0
6.442 0.000 0.000
0.000 6.442 0.000
0.000 0.000 6.442
Sc Ta Mo
4 4 8
direct
0.000 0.000 0.000
0.000 0.500 0.500
0.500 0.000 0.500
0.500 0.500 0.000
0.000 0.000 0.500
0.000 0.500 0.000
0.500 0.000 0.000
0.500 0.500 0.500
0.250 0.250 0.250
0.250 0.250 0.750
0.250 0.750 0.250
0.250 0.750 0.750
0.750 0.250 0.250
0.750 0.250 0.750
0.750 0.750 0.250
0.750 0.750 0.750
```

Computed properties:
Space group   Fm-3m (225)
Energy relative to the elements   0.115 eV/atom
Energy relative to the lowest polymorph listed for this composition   0.024 eV per atom

***

# 7
The following is a SCAN calculation of a crystal of ScAsP2 relaxed with PBEsol, from Alexandria via LeMat-Bulk.

Geometry as POSCAR:
```
ScAsP2
1.0
3.892 0.000 0.000
0.000 3.615 0.000
-1.676 0.000 5.040
Sc As P
1 1 2
direct
0.000 0.000 0.000
0.500 0.000 0.500
0.326 0.500 0.787
0.674 0.500 0.213
```

Computed properties:
Space group   P2/m (10)
Energy relative to the elements   -0.540 eV/atom

***

# 8
The following is a SCAN calculation of a crystal of HfBi3W relaxed with PBEsol, from Alexandria via LeMat-Bulk.

Geometry as POSCAR:
```
HfBi3W
1.0
5.486 0.000 0.000
0.000 5.486 0.000
0.000 0.000 5.486
Hf Bi W
1 3 1
direct
0.000 0.000 0.000
0.000 0.000 0.500
0.000 0.500 0.000
0.500 0.000 0.000
0.500 0.500 0.500
```

Computed properties:
Space group   Pm-3m (221)
Energy relative to the elements   1.567 eV/atom

***

# 9
The following is a SCAN calculation of a crystal of Y4C relaxed with PBEsol, from Alexandria via LeMat-Bulk.

Geometry as POSCAR:
```
Y4C
1.0
3.503 0.000 0.000
-1.752 3.034 0.000
0.000 0.000 12.403
Y C
4 1
direct
0.333 0.667 0.111
0.333 0.667 0.392
0.667 0.333 0.608
0.667 0.333 0.889
0.000 0.000 0.500
```

Computed properties:
Space group   P-3m1 (164)
Energy relative to the elements   -0.176 eV/atom

***

# 10
The following is a SCAN calculation of a crystal of CrBS2 relaxed with PBEsol, from Alexandria via LeMat-Bulk.

Geometry as POSCAR:
```
CrBS2
1.0
3.479 0.000 0.000
-1.739 3.013 0.000
0.000 0.000 18.130
Cr B S
3 3 6
direct
0.000 0.000 0.000
0.333 0.667 0.667
0.667 0.333 0.333
0.000 0.000 0.500
0.333 0.667 0.167
0.667 0.333 0.833
0.000 0.000 0.405
0.000 0.000 0.595
0.333 0.667 0.072
0.333 0.667 0.262
0.667 0.333 0.738
0.667 0.333 0.928
```

Computed properties:
Space group   R-3m (166)
Formation energy without anion corrections   -144 meV per atom

***

# 11
The following is a SCAN calculation of a crystal of Si2GeHPt relaxed with PBEsol, from Alexandria via LeMat-Bulk.

Geometry as POSCAR:
```
Si2GeHPt
1.0
3.989 0.000 0.000
0.000 3.989 0.000
0.000 0.000 4.050
Si Ge H Pt
2 1 1 1
direct
0.000 0.500 0.000
0.500 0.000 0.000
0.000 0.000 0.500
0.000 0.000 0.000
0.500 0.500 0.500
```

Computed properties:
Space group   P4/mmm (123)

***

# 12
The following is a SCAN calculation of a crystal of SiHgRh2 relaxed with PBEsol, from Alexandria via LeMat-Bulk.

Geometry as POSCAR:
```
SiHgRh2
1.0
6.203 0.000 0.000
0.000 6.203 0.000
0.000 0.000 6.203
Si Hg Rh
4 4 8
direct
0.000 0.000 0.000
0.000 0.500 0.500
0.500 0.000 0.500
0.500 0.500 0.000
0.250 0.250 0.750
0.250 0.750 0.250
0.750 0.250 0.250
0.750 0.750 0.750
0.000 0.000 0.500
0.000 0.500 0.000
0.250 0.250 0.250
0.250 0.750 0.750
0.500 0.000 0.000
0.500 0.500 0.500
0.750 0.250 0.750
0.750 0.750 0.250
```

Computed properties:
Space group   F-43m (216)
Energy relative to the lowest polymorph listed for this composition   0.796 eV per atom
Formation energy without anion corrections   237 meV per atom

***

# 13
The following is a SCAN calculation of a crystal of LiMg2As relaxed with PBEsol, from Alexandria via LeMat-Bulk.

Geometry as POSCAR:
```
LiMg2As
1.0
3.181 0.000 0.000
0.000 4.782 0.000
-0.111 0.000 5.115
Li Mg As
1 2 1
direct
0.000 0.000 0.000
0.271 0.500 0.748
0.729 0.500 0.252
0.500 0.000 0.500
```

Computed properties:
Space group   P2/m (10)
Energy relative to the elements   -0.190 eV/atom

***

# 14
The following is a SCAN calculation of a crystal of CsRb3Pd relaxed with PBEsol, from Alexandria via LeMat-Bulk.

Geometry as POSCAR:
```
CsRb3Pd
1.0
6.726 0.000 0.000
0.000 6.726 0.000
0.000 0.000 6.726
Cs Rb Pd
1 3 1
direct
0.000 0.000 0.000
0.000 0.500 0.500
0.500 0.000 0.500
0.500 0.500 0.000
0.500 0.500 0.500
```

Computed properties:
Space group   Pm-3m (221)
Energy relative to the elements   0.127 eV/atom

***

# 15
The following is a SCAN calculation of a crystal of In2TeBr relaxed with PBEsol, from Alexandria via LeMat-Bulk.

Geometry as POSCAR:
```
In2TeBr
1.0
7.598 0.000 0.000
0.000 7.596 0.000
-0.035 0.000 3.817
In Te Br
4 2 2
direct
0.250 0.250 0.000
0.250 0.750 0.000
0.750 0.250 0.000
0.750 0.750 0.000
0.000 0.000 0.500
0.500 0.500 0.500
0.000 0.500 0.500
0.500 0.000 0.500
```

Computed properties:
Space group   C2/m (12)
Energy relative to the lowest polymorph listed for this composition   0.119 eV per atom
Formation energy without anion corrections   -291 meV per atom

***

# 16
The following is a SCAN calculation of a crystal of CaGaSCl2 relaxed with PBEsol, from Alexandria via LeMat-Bulk.

Geometry as POSCAR:
```
CaGaSCl2
1.0
5.193 0.000 0.000
0.000 5.193 0.000
0.000 0.000 5.407
Ca Ga S Cl
1 1 1 2
direct
0.000 0.000 0.000
0.500 0.500 0.500
0.000 0.000 0.500
0.000 0.500 0.000
0.500 0.000 0.000
```

Computed properties:
Space group   P4/mmm (123)
Formation energy without anion corrections   -1102 meV per atom

***

# 17
The following is a SCAN calculation of a crystal of MgSe relaxed with PBEsol, from Alexandria via LeMat-Bulk.

Geometry as POSCAR:
```
MgSe
1.0
5.941 0.000 0.000
0.000 5.941 0.000
0.000 0.000 5.941
Mg Se
4 4
direct
0.000 0.000 0.000
0.000 0.500 0.500
0.500 0.000 0.500
0.500 0.500 0.000
0.250 0.250 0.750
0.250 0.750 0.250
0.750 0.250 0.250
0.750 0.750 0.750
```

Computed properties:
Space group   F-43m (216)
Formation energy without anion corrections   -1446 meV per atom

***

# 18
The following is a SCAN calculation of a crystal of BrCl3 relaxed with PBEsol, from Alexandria via LeMat-Bulk.

Geometry as POSCAR:
```
BrCl3
1.0
4.085 0.000 0.000
0.000 8.940 0.000
0.000 0.000 6.837
Br Cl
2 6
direct
0.000 0.000 0.000
0.500 0.500 0.500
0.000 0.253 0.902
0.000 0.500 0.989
0.000 0.747 0.902
0.500 0.000 0.489
0.500 0.247 0.402
0.500 0.753 0.402
```

Computed properties:
Space group   Imm2 (44)
Formation energy without anion corrections   111 meV per atom

***

# 19
The following is a SCAN calculation of a crystal of TlZn2H2 relaxed with PBEsol, from Alexandria via LeMat-Bulk.

Geometry as POSCAR:
```
TlZn2H2
1.0
3.304 0.000 0.000
0.000 3.304 0.000
0.000 0.000 12.169
Tl Zn H
2 4 4
direct
0.000 0.000 0.000
0.500 0.500 0.500
0.000 0.000 0.333
0.000 0.000 0.667
0.500 0.500 0.167
0.500 0.500 0.833
0.000 0.500 0.250
0.000 0.500 0.750
0.500 0.000 0.250
0.500 0.000 0.750
```

Computed properties:
Space group   I4/mmm (139)

***

# 20
The following is a SCAN calculation of a crystal of NaTi2AsBr relaxed with PBEsol, from Alexandria via LeMat-Bulk.

Geometry as POSCAR:
```
NaTi2AsBr
1.0
4.717 0.000 0.000
0.000 4.717 0.000
0.000 0.000 7.060
Na Ti As Br
1 2 1 1
direct
0.000 0.000 0.000
0.000 0.500 0.500
0.500 0.000 0.500
0.500 0.500 0.500
0.500 0.500 0.000
```

Computed properties:
Space group   P4/mmm (123)
Formation energy without anion corrections   46 meV per atom

***

Number 1: E_tot -15.066 eV per atom. Number 2: E_tot -29.174 eV per atom. Number 3: E_tot -18.034 eV per atom. Number 4: E_tot -29.706 eV per atom. Number 5: E_tot -51.143 eV per atom. Number 6: E_tot -37.533 eV per atom. Number 7: E_tot -14.347 eV per atom. Number 8: E_tot -72.053 eV per atom. Number 9: E_tot -24.470 eV per atom. Number 10: E_tot -11.411 eV per atom. Number 11: E_tot -22.082 eV per atom. Number 12: E_tot -36.194 eV per atom. Number 13: E_tot -8.322 eV per atom. Number 14: E_tot -26.434 eV per atom. Number 15: E_tot -31.161 eV per atom. Number 16: E_tot -11.421 eV per atom. Number 17: E_tot -13.972 eV per atom. Number 18: E_tot -10.738 eV per atom. Number 19: E_tot -20.867 eV per atom. Number 20: E_tot -15.139 eV per atom.